[1]
The following is a PBE calculation of a geometry-optimized Ca2AcSn structure, from Alexandria.

Results
space-group type = P4/mmm (123)
E_form = -1.2 eV/f.u.

Cell lengths 3.778, 3.778, 10.012 Å; angles 90.00, 90.00, 90.00 degrees
Element x y z (fractional)
Ca 0.000 0.000 0.803
Ca 0.000 0.000 0.197
Ac 0.500 0.500 0.500
Sn 0.500 0.500 0.000

=====

[2]
The following is a PBE calculation of a geometry-optimized GdNbNi4 structure, from Alexandria.

Results
space-group type = F-43m (216)
E_form = -1.0 eV/f.u.

Cell lengths 4.959, 4.959, 4.959 Å; angles 60.00, 60.00, 60.00 degrees
Element x y z (fractional)
Ni 0.624 0.624 0.624
Ni 0.127 0.624 0.624
Ni 0.624 0.127 0.624
Ni 0.624 0.624 0.127
Gd 0.000 0.000 0.000
Nb 0.250 0.250 0.250

=====

[3]
The following is a PBE calculation of a geometry-optimized SmTmInPd structure, from Alexandria.

Results
space-group type = F-43m (216)
E_form = -2.3 eV/f.u.

Cell lengths 5.180, 5.180, 5.180 Å; angles 60.00, 60.00, 60.00 degrees
Element x y z (fractional)
Pd 0.000 0.000 0.000
In 0.500 0.500 0.500
Tm 0.250 0.250 0.250
Sm 0.750 0.750 0.750

=====

[4]
The following is a PBE calculation of a geometry-optimized Rb2HgCl structure, from Alexandria.

Results
space-group type = I-42d (122)
formation energy without anion corrections = -0.91 eV per atom

Cell lengths 9.226, 9.226, 8.071 Å; angles 55.14, 55.14, 90.00 degrees
Element x y z (fractional)
Hg 0.000 0.000 0.000
Hg 0.750 0.250 0.500
Rb 0.875 0.822 0.750
Rb 0.572 0.125 0.250
Rb 0.178 0.625 0.250
Rb 0.375 0.428 0.750
Cl 0.500 0.500 0.000
Cl 0.250 0.750 0.500

=====

[5]
The following is a PBE calculation of a geometry-optimized Ni2MoW structure, from Alexandria.

Results
space-group type = I-4m2 (119)
E_form = 0.6 eV/f.u.

Cell lengths 4.664, 4.664, 4.664 Å; angles 132.44, 132.44, 69.53 degrees
Element x y z (fractional)
Ni 0.250 0.750 0.500
Ni 0.000 0.000 0.000
W 0.500 0.500 0.000
Mo 0.750 0.250 0.500

=====

[6]
The following is a PBE calculation of a geometry-optimized Y2ScInH structure, from Alexandria.

Results
uncorrected energy = -5.4422 eV/atom
space-group type = P4/mmm (123)

Cell lengths 4.798, 4.798, 4.651 Å; angles 90.00, 90.00, 90.00 degrees
Element x y z (fractional)
H 0.000 0.000 0.000
Y 0.000 0.500 0.000
Y 0.500 0.000 0.000
In 0.500 0.500 0.500
Sc 0.000 0.000 0.500

=====

[7]
The following is a PBE calculation of a geometry-optimized Sr2AgHg2 structure, from Alexandria.

Results
space-group type = C2/m (12)
E_form = -2.2 eV/f.u.

Cell lengths 4.807, 6.399, 11.050 Å; angles 88.12, 77.44, 67.94 degrees
Element x y z (fractional)
Hg 0.081 0.272 0.566
Hg 0.919 0.728 0.434
Hg 0.644 0.827 0.884
Hg 0.356 0.173 0.116
Sr 0.326 0.687 0.660
Sr 0.925 0.264 0.885
Sr 0.075 0.736 0.115
Sr 0.674 0.313 0.340
Ag 0.378 0.908 0.337
Ag 0.622 0.092 0.663

=====

[8]
The following is a PBE calculation of a geometry-optimized Zr4SeS structure, from Alexandria.

Results
space-group type = P2_1/c (14)
formation energy without anion corrections = -0.86 eV per atom

Cell lengths 5.670, 7.369, 7.418 Å; angles 122.62, 90.00, 90.00 degrees
Element x y z (fractional)
Zr 0.217 0.820 0.164
Zr 0.783 0.180 0.836
Zr 0.220 0.334 0.688
Zr 0.720 0.166 0.312
Zr 0.280 0.834 0.688
Zr 0.780 0.666 0.312
Zr 0.283 0.320 0.164
Zr 0.717 0.680 0.836
Se 0.500 0.000 0.500
Se 0.000 0.500 0.500
S 0.500 0.500 0.000
S 0.000 0.000 0.000

=====

Number 1: magnetic moment 0.00 μB/atom. Number 2: magnetic moment 1.38 μB/atom. Number 3: magnetic moment 0.00 μB/atom. Number 4: magnetic moment 0.00 μB/atom. Number 5: magnetic moment 0.20 μB/atom. Number 6: magnetic moment 0.33 μB/atom. Number 7: magnetic moment 0.00 μB/atom. Number 8: magnetic moment 0.00 μB/atom.